# SiAgRh3

An optimized crystal structure of SiAgRh3 (PBE-GGA, Alexandria via LeMat-Bulk).

Unit cell a=4.765 b=4.765 c=4.765 alpha=90.00 beta=90.00 gamma=90.00
Space group Pm-3m (No. 221)
Asymmetric unit:
Si 0.000 0.000 0.000 x1
Ag 0.500 0.500 0.500 x1
Rh 0.000 0.500 0.500 x3

Output
raw total energy = -4.22 eV/atom
calculated volume = 108.2 Å³ per cell
DOS at the Fermi energy = 1.21 states/eV per atom
energy above the lowest structure with this stoichiometry = 7.848 eV per formula unit

# SiAgRh2

An optimized crystal structure of SiAgRh2 (PBE-GGA, Alexandria via LeMat-Bulk).

Unit cell a=2.8596 b=2.8596 c=25.1324 alpha=90.00 beta=90.00 gamma=120.00
Space group R-3m (No. 166, hexagonal axes)
Asymmetric unit:
Si 0.0000 0.0000 0.0000 x3
Ag 0.0000 0.0000 0.5000 x3
Rh 0.0000 0.0000 0.2636 x6

Output
raw total energy = -6.11 eV/atom
calculated volume = 178.0 Å³ per cell
DOS at the Fermi energy = 0.32 states/eV per atom

# SiAgRh

An optimized crystal structure of SiAgRh (PBE-GGA, Alexandria via LeMat-Bulk).

Unit cell a=4.0953 b=4.0953 c=3.1802 alpha=90.00 beta=90.00 gamma=120.00
Space group P3m1 (No. 156)
Asymmetric unit:
Si 0.0000 0.0000 0.0000 x1
Ag 0.6667 0.3333 0.4916 x1
Rh 0.3333 0.6667 0.9907 x1

Output
raw total energy = -5.45 eV/atom
calculated volume = 46.2 Å³ per cell
DOS at the Fermi energy = 0.42 states/eV per atom
energy above the lowest structure with this stoichiometry = 0.000 eV per formula unit